Entry a
CsHgSe, relaxed, DFT PBE; magnetic moment = 0.234 μB per atom
1.0
-3.043 3.400 -2.330
-3.870 -3.353 0.160
2.073 1.786 5.532
Cs Hg Se
1 1 1
Direct
0.956 0.956 0.911 Cs
0.313 0.313 0.626 Hg
0.581 0.581 0.162 Se

***

Entry b
CsHgSe, relaxed, DFT PBE; magnetic moment = 0.000 μB per atom
1.0
8.394 0.000 -0.001
0.000 5.297 0.000
-3.639 0.000 12.242
Cs Hg Se
4 4 4
Direct
0.829 0.000 0.461 Cs
0.829 0.500 0.961 Cs
0.119 0.000 0.765 Cs
0.119 0.500 0.265 Cs
0.576 0.000 0.766 Hg
0.576 0.500 0.266 Hg
0.467 0.000 0.104 Hg
0.467 0.500 0.604 Hg
0.161 0.000 0.063 Se
0.161 0.500 0.563 Se
0.777 0.000 0.153 Se
0.777 0.500 0.653 Se

***

Need the numbers? Relative energies in eV/atom: entry a 0.351; entry b 0.000.

***

Entry a
CsHgSe, relaxed, DFT PBE; magnetic moment = 0.000 μB per atom
1.0
-4.973 -1.800 -1.076
-1.369 -0.524 7.203
-4.900 13.502 0.051
Hg Se Cs
4 4 4
Direct
0.750 0.750 0.359 Hg
0.750 0.250 0.141 Hg
0.250 0.750 0.859 Hg
0.250 0.250 0.641 Hg
0.250 0.750 0.377 Se
0.750 0.250 0.623 Se
0.750 0.750 0.877 Se
0.250 0.250 0.123 Se
0.750 0.750 0.622 Cs
0.750 0.250 0.878 Cs
0.250 0.750 0.122 Cs
0.250 0.250 0.378 Cs

***

Entry b
CsHgSe, relaxed, DFT PBE; magnetic moment = 0.000 μB per atom
1.0
8.931 0.000 0.000
0.000 4.602 0.000
-6.675 0.000 10.136
Cs Hg Se
4 4 4
Direct
0.156 0.000 0.438 Cs
0.844 0.000 0.562 Cs
0.156 0.500 0.938 Cs
0.844 0.500 0.062 Cs
0.553 0.000 0.134 Hg
0.447 0.000 0.866 Hg
0.553 0.500 0.634 Hg
0.447 0.500 0.366 Hg
0.724 0.000 0.797 Se
0.276 0.000 0.203 Se
0.724 0.500 0.297 Se
0.276 0.500 0.703 Se

***

Need the numbers? Relative energies in eV/atom: entry a 0.051; entry b 0.000.

***

Entry a
CsHgSe, relaxed, DFT PBE; magnetic moment = 0.000 μB per atom
1.0
-2.477 3.685 -2.037
-4.507 -1.578 2.625
2.072 1.194 4.275
Cs Hg Se
1 1 1
Direct
0.576 0.000 0.214 Cs
0.891 0.500 0.893 Hg
0.279 0.500 0.504 Se

***

Entry b
CsHgSe, relaxed, DFT PBE; magnetic moment = 0.000 μB per atom
1.0
-1.461 6.533 -0.379
-9.013 -0.028 -2.243
-7.110 -3.949 2.850
Cs Hg Se
2 2 2
Direct
0.367 0.333 0.823 Cs
0.567 0.534 0.279 Cs
0.087 0.053 0.403 Hg
0.789 0.755 0.793 Hg
0.877 0.843 0.004 Se
0.690 0.655 0.596 Se

***

Entry c
CsHgSe, relaxed, DFT PBE; magnetic moment = 0.000 μB per atom
1.0
-4.452 4.532 -3.941
-3.008 -5.935 -3.427
-5.069 -1.996 7.907
Cs Hg Se
4 4 4
Direct
0.753 0.034 0.345 Cs
0.247 0.034 0.655 Cs
0.753 0.534 0.845 Cs
0.247 0.534 0.155 Cs
0.500 0.695 0.500 Hg
0.500 0.195 0.000 Hg
0.000 0.031 0.000 Hg
0.000 0.531 0.500 Hg
0.216 0.026 0.242 Se
0.784 0.026 0.758 Se
0.216 0.526 0.742 Se
0.784 0.526 0.258 Se

***

Entry d
CsHgSe, relaxed, DFT PBE; magnetic moment = 0.000 μB per atom
1.0
-3.246 2.465 -3.020
-5.380 -3.909 -1.657
-7.193 -2.151 5.970
Cs Hg Se
2 2 2
Direct
0.241 0.808 0.488 Cs
0.353 0.585 0.108 Cs
0.982 0.329 0.900 Hg
0.613 0.064 0.695 Hg
0.682 0.928 0.169 Se
0.913 0.465 0.426 Se

***

Need the numbers? Relative energies in eV/atom: entry a 0.111; entry b 0.000; entry c 0.031; entry d 0.083.

***

Entry a
CsHg2Se3, relaxed, DFT PBE; magnetic moment = 0.000 μB per atom
1.0
-3.697 -1.311 -0.011
1.485 -4.127 -7.069
3.653 -10.362 6.816
Cs Hg Se
2 4 6
Direct
0.000 0.100 0.830 Cs
0.000 0.600 0.170 Cs
0.000 0.067 0.160 Hg
0.500 0.084 0.446 Hg
0.000 0.567 0.840 Hg
0.500 0.584 0.554 Hg
0.500 0.936 0.054 Se
0.500 0.278 0.606 Se
0.000 0.237 0.321 Se
0.500 0.436 0.946 Se
0.500 0.778 0.394 Se
0.000 0.737 0.679 Se

***

Entry b
CsHg2Se3, relaxed, DFT PBE; magnetic moment = 0.000 μB per atom
1.0
8.252 -1.135 -0.769
-4.905 6.732 -0.769
-0.364 -0.609 7.906
Cs Hg Se
2 4 6
Direct
0.295 0.705 0.000 Cs
0.705 0.295 0.000 Cs
0.000 0.000 0.000 Hg
0.500 0.500 0.500 Hg
0.778 0.222 0.500 Hg
0.222 0.778 0.500 Hg
0.090 0.364 0.326 Se
0.336 0.336 0.877 Se
0.910 0.636 0.674 Se
0.636 0.910 0.674 Se
0.364 0.090 0.326 Se
0.664 0.664 0.123 Se

***

Need the numbers? Relative energies in eV/atom: entry a 0.000; entry b 0.006.

***

Entry a
Cs3HgSe, relaxed, DFT PBE; magnetic moment = 0.000 μB per atom
1.0
-3.731 2.372 -2.356
4.495 -4.912 -6.733
-7.199 -8.739 2.608
Cs Hg Se
6 2 2
Direct
0.076 0.184 0.348 Cs
0.429 0.891 0.583 Cs
0.615 0.263 0.838 Cs
0.968 0.970 0.073 Cs
0.260 0.552 0.063 Cs
0.785 0.602 0.359 Cs
0.229 0.493 0.661 Hg
0.814 0.661 0.760 Hg
0.411 0.856 0.287 Se
0.633 0.299 0.135 Se

***

Entry b
Cs3HgSe, relaxed, DFT PBE; magnetic moment = 0.000 μB per atom
1.0
-2.782 -0.929 6.363
6.321 -1.668 2.520
1.181 6.741 1.501
Cs Hg Se
3 1 1
Direct
0.000 0.500 0.000 Cs
0.000 0.000 0.500 Cs
0.500 0.000 0.000 Cs
0.500 0.500 0.500 Hg
0.000 0.000 0.000 Se

***

Need the numbers? Relative energies in eV/atom: entry a 0.000; entry b 0.051.

***

Entry a
Cs2Hg2Se3, relaxed, DFT PBE; magnetic moment = 0.000 μB per atom
1.0
-4.037 1.709 -1.301
-3.196 -0.991 8.620
5.587 5.359 -2.264
Cs Hg Se
2 2 3
Direct
0.446 0.225 0.893 Cs
0.554 0.775 0.107 Cs
0.200 0.308 0.399 Hg
0.800 0.692 0.601 Hg
0.000 0.000 0.000 Se
0.182 0.606 0.364 Se
0.818 0.394 0.636 Se

***

Entry b
Cs2Hg2Se3, relaxed, DFT PBE; magnetic moment = 0.000 μB per atom
1.0
-5.708 7.917 1.000
-5.493 -7.675 -2.679
4.406 -1.955 8.545
Cs Hg Se
4 4 6
Direct
0.000 0.000 0.498 Cs
0.500 0.498 0.500 Cs
0.502 0.002 0.002 Cs
0.998 0.500 0.000 Cs
0.000 0.000 0.130 Hg
0.500 0.130 0.500 Hg
0.870 0.370 0.370 Hg
0.630 0.500 0.000 Hg
0.690 0.750 0.940 Se
0.810 0.250 0.560 Se
0.060 0.310 0.250 Se
0.440 0.190 0.750 Se
0.250 0.940 0.190 Se
0.750 0.560 0.310 Se

***

Need the numbers? Relative energies in eV/atom: entry a 0.000; entry b 0.008.